1.
# Cs2TlBi2Pt | the Alexandria database | PBE | relaxed
# E = -0.119 hartree per atom
# DFT formation energy = -1.558 eV/f.u.
# calculated density = 7.11 Mg/m³
data_Cs2TlBi2Pt
_chemical_formula_sum 'Cs8 Tl4 Bi8 Pt4'
_symmetry_space_group_name_H-M 'I b a m'
_symmetry_Int_Tables_number 72
_symmetry_space_group_name_Hall '-I 2 2c'
_cell_length_a 7.923
_cell_length_b 16.931
_cell_length_c 7.549
_cell_angle_alpha 90.00
_cell_angle_beta 90.00
_cell_angle_gamma 90.00
loop_
_atom_site_label
_atom_site_fract_x
_atom_site_fract_y
_atom_site_fract_z
Cs1 0.237 0.167 0.000
Tl1 0.000 0.000 0.250
Bi1 0.192 0.422 0.000
Pt1 0.000 0.500 0.250


2.
# CsTl2BiPt | the Alexandria database | PBE | relaxed
# E = -0.115 hartree per atom
# DFT formation energy = -0.167 eV/f.u.
# calculated density = 8.90 Mg/m³
data_CsTl2BiPt
_chemical_formula_sum 'Cs1 Tl2 Bi1 Pt1'
_symmetry_space_group_name_H-M 'P 4/m m m'
_symmetry_Int_Tables_number 123
_symmetry_space_group_name_Hall '-P 4 2'
_cell_length_a 5.484
_cell_length_b 5.484
_cell_length_c 5.865
_cell_angle_alpha 90.00
_cell_angle_beta 90.00
_cell_angle_gamma 90.00
loop_
_atom_site_label
_atom_site_fract_x
_atom_site_fract_y
_atom_site_fract_z
Cs1 0.000 0.000 0.000
Tl1 0.000 0.500 0.500
Bi1 0.500 0.500 0.000
Pt1 0.500 0.500 0.500


3.
# Cs2PuBiSe4 | the Alexandria database | PBE | relaxed
# uncorrected formation energy = -0.91 eV per atom
# E = -0.189 hartree per atom
# calculated density = 4.70 Mg/m³
data_Cs2PuBiSe4
_chemical_formula_sum 'Cs16 Pu8 Bi8 Se32'
_symmetry_space_group_name_H-M 'F d d d'
_symmetry_Int_Tables_number 70
_cell_length_a 7.254
_cell_length_b 15.635
_cell_length_c 25.773
_cell_angle_alpha 90.00
_cell_angle_beta 90.00
_cell_angle_gamma 90.00
loop_
_symmetry_equiv_pos_as_xyz
'x,y,z'
'-x,-y,-z'
'-x+1/4,-y+1/4,z'
'x+1/4,y+1/4,-z'
'x,-y+1/4,-z+1/4'
'-x,y+1/4,z+1/4'
'-x+1/4,y,-z+1/4'
'x+1/4,-y,z+1/4'
'x,y+1/2,z+1/2'
'-x,-y+1/2,-z+1/2'
'-x+1/4,-y+3/4,z+1/2'
'x+1/4,y+3/4,-z+1/2'
'x,-y+3/4,-z+3/4'
'-x,y+3/4,z+3/4'
'-x+1/4,y+1/2,-z+3/4'
'x+1/4,-y+1/2,z+3/4'
'x+1/2,y,z+1/2'
'-x+1/2,-y,-z+1/2'
'-x+3/4,-y+1/4,z+1/2'
'x+3/4,y+1/4,-z+1/2'
'x+1/2,-y+1/4,-z+3/4'
'-x+1/2,y+1/4,z+3/4'
'-x+3/4,y,-z+3/4'
'x+3/4,-y,z+3/4'
'x+1/2,y+1/2,z'
'-x+1/2,-y+1/2,-z'
'-x+3/4,-y+3/4,z'
'x+3/4,y+3/4,-z'
'x+1/2,-y+3/4,-z+1/4'
'-x+1/2,y+3/4,z+1/4'
'-x+3/4,y+1/2,-z+1/4'
'x+3/4,-y+1/2,z+1/4'
loop_
_atom_site_label
_atom_site_fract_x
_atom_site_fract_y
_atom_site_fract_z
Cs1 0.125 0.125 0.306
Pu1 0.125 0.125 0.125
Bi1 0.125 0.125 0.625
Se1 0.114 0.270 0.429


4.
# Cs2RbBi | the Alexandria database | PBE | relaxed
# E = -0.067 hartree per atom
# DFT formation energy = -0.720 eV/f.u.
# calculated density = 4.29 Mg/m³
data_Cs2RbBi
_chemical_formula_sum 'Cs2 Rb1 Bi1'
_symmetry_space_group_name_H-M 'P 4/m m m'
_symmetry_Int_Tables_number 123
_symmetry_space_group_name_Hall '-P 4 2'
_cell_length_a 5.964
_cell_length_b 5.964
_cell_length_c 6.100
_cell_angle_alpha 90.00
_cell_angle_beta 90.00
_cell_angle_gamma 90.00
loop_
_atom_site_label
_atom_site_fract_x
_atom_site_fract_y
_atom_site_fract_z
Cs1 0.000 0.500 0.000
Rb1 0.000 0.000 0.500
Bi1 0.500 0.500 0.500


5.
# CsRb2Bi | the Alexandria database | PBE | relaxed
# E = -0.072 hartree per atom
# DFT formation energy = -1.162 eV/f.u.
# calculated density = 4.26 Mg/m³
data_CsRb2Bi
_chemical_formula_sum 'Cs3 Rb6 Bi3'
_symmetry_space_group_name_H-M 'R 3 m'
_symmetry_Int_Tables_number 160
_symmetry_space_group_name_Hall 'R 3 -2"'
_cell_length_a 6.5643
_cell_length_b 6.5643
_cell_length_c 16.0856
_cell_angle_alpha 90.00
_cell_angle_beta 90.00
_cell_angle_gamma 120.00
loop_
_atom_site_label
_atom_site_fract_x
_atom_site_fract_y
_atom_site_fract_z
Cs1 0.0000 0.0000 0.0000
Rb1 0.0000 0.0000 0.2494
Rb2 0.0000 0.0000 0.4997
Bi1 0.0000 0.0000 0.7503


6.
# CsRb3Bi4 | the Alexandria database | PBE | relaxed
# E = -0.094 hartree per atom
# DFT formation energy = -1.170 eV/f.u.
# calculated density = 4.78 Mg/m³
data_CsRb3Bi4
_chemical_formula_sum 'Cs2 Rb6 Bi8'
_symmetry_space_group_name_H-M 'I m m m'
_symmetry_Int_Tables_number 71
_symmetry_space_group_name_Hall '-I 2 2'
_cell_length_a 4.774
_cell_length_b 8.092
_cell_length_c 22.055
_cell_angle_alpha 90.00
_cell_angle_beta 90.00
_cell_angle_gamma 90.00
loop_
_atom_site_label
_atom_site_fract_x
_atom_site_fract_y
_atom_site_fract_z
Cs1 0.000 0.000 0.000
Rb1 0.000 0.000 0.500
Rb2 0.000 0.500 0.293
Bi1 0.000 0.324 0.129


Q: The highest E belongs to which entry?
A: Cs2RbBi